1.
Below is a relaxed Nb2ZnCoH crystal, with properties calculated at the PBE level.

Cell and atoms, written as POSCAR:
```
Nb2ZnCoH
1.0
4.0301 0.0000 0.0000
0.0000 4.0301 0.0000
0.0000 0.0000 3.9285
Nb Zn Co H
2 1 1 1
Cartesian
0.0000 2.0150 0.0000
2.0150 0.0000 0.0000
0.0000 0.0000 1.9642
2.0150 2.0150 1.9642
0.0000 0.0000 0.0000
```

Output
Its crystal system is tetragonal. Its energy above the most stable polymorph in this dataset is 123 meV per atom. The symmetry is P4/mmm, No. 123. The electronic total energy is -6.35 eV per atom.

***

2.
Below is a relaxed Mg2CdIr crystal, with properties calculated at the PBE level.

Cell and atoms, written as POSCAR:
```
Mg2CdIr
1.0
3.0162 0.0000 0.0000
-1.5081 2.6121 0.0000
0.0000 0.0000 28.6971
Mg Cd Ir
6 3 3
Cartesian
0.0000 0.0000 6.8165
0.0000 0.0000 21.8806
0.0000 1.7414 12.3149
0.0000 1.7414 25.9479
1.5081 0.8707 2.7492
1.5081 0.8707 16.3822
0.0000 0.0000 0.0000
0.0000 1.7414 19.1314
1.5081 0.8707 9.5657
0.0000 0.0000 14.3486
0.0000 1.7414 4.7829
1.5081 0.8707 23.9143
```

Output
Its formation energy is -79 meV/atom. Its crystal system is trigonal. The symmetry is R-3m, No. 166. The electronic total energy is -3.32 eV per atom.

***

3.
Below is a relaxed AcAlGeH crystal, with properties calculated at the PBE level.

Cell and atoms, written as POSCAR:
```
AcAlGeH
1.0
4.3834 0.0000 0.0000
-2.1917 3.7961 0.0000
0.0000 0.0000 4.7343
Ac Al Ge H
1 1 1 1
Cartesian
0.0000 0.0000 0.0000
0.0000 2.5308 2.3812
2.1917 1.2654 2.5716
0.0000 2.5308 0.5851
```

Output
Its crystal system is trigonal. The symmetry is P3m1, No. 156. The electronic total energy is -4.49 eV per atom.

***

no.,calculated volume (Å³ per cell)
1,64
2,226
3,79